1:
# AcLaTlIn, relaxed, DFT PBE
data_AcLaTlIn
_chemical_formula_sum 'Ac1 La1 Tl1 In1'
_space_group_name_H-M_alt 'P 1'
_space_group_IT_number 1
_space_group_name_Hall 'P 1'
_cell_length_a 4.0473
_cell_length_b 4.0473
_cell_length_c 8.0669
_cell_angle_alpha 90.00
_cell_angle_beta 90.00
_cell_angle_gamma 90.00
loop_
_atom_site_label
_atom_site_type_symbol
_atom_site_fract_x
_atom_site_fract_y
_atom_site_fract_z
Ac1 Ac 0.0000 0.0000 0.0000
La1 La 0.0000 0.0000 0.4942
Tl1 Tl 0.5000 0.5000 0.7339
In1 In 0.5000 0.5000 0.2586
# Size of the total moment, μB per formula unit: 0.0
# Symmetry: P4mm
# Theoretical density, g cm⁻³: 8.61

---

2:
# AcLaTlIn, relaxed, DFT PBE
data_AcLaTlIn
_chemical_formula_sum 'Ac1 La1 Tl1 In1'
_space_group_name_H-M_alt 'P 1'
_space_group_IT_number 1
_space_group_name_Hall 'P 1'
_cell_length_a 5.7308
_cell_length_b 5.7308
_cell_length_c 5.7308
_cell_angle_alpha 60.00
_cell_angle_beta 60.00
_cell_angle_gamma 60.00
loop_
_atom_site_label
_atom_site_type_symbol
_atom_site_fract_x
_atom_site_fract_y
_atom_site_fract_z
Ac1 Ac 0.0000 0.0000 0.0000
La1 La 0.5000 0.5000 0.5000
Tl1 Tl 0.2500 0.2500 0.2500
In1 In 0.7500 0.7500 0.7500
# Size of the total moment, μB per formula unit: 0.0
# Symmetry: F-43m
# Theoretical density, g cm⁻³: 8.55

---

Which one sits at the top of the stability order? 1 does.

---

1:
# Li2Ac2In3, relaxed, DFT PBE
data_Li2Ac2In3
_chemical_formula_sum 'Li2 Ac2 In3'
_space_group_name_H-M_alt 'P 1'
_space_group_IT_number 1
_space_group_name_Hall 'P 1'
_cell_length_a 6.3148
_cell_length_b 6.3148
_cell_length_c 7.4497
_cell_angle_alpha 111.97
_cell_angle_beta 111.97
_cell_angle_gamma 46.03
loop_
_atom_site_label
_atom_site_type_symbol
_atom_site_fract_x
_atom_site_fract_y
_atom_site_fract_z
Li1 Li 0.1362 0.1362 0.2458
Li2 Li 0.8638 0.8638 0.7542
Ac1 Ac 0.1536 0.1536 0.7719
Ac2 Ac 0.8464 0.8464 0.2281
In1 In 0.3917 0.3917 0.5650
In2 In 0.5000 0.5000 0.0000
In3 In 0.6083 0.6083 0.4350
# Size of the total moment, μB per formula unit: 0.0
# Symmetry: C2/m
# Theoretical density, g cm⁻³: 6.91

---

2:
# Li2Ac2In3, relaxed, DFT PBE
data_Li2Ac2In3
_chemical_formula_sum 'Li4 Ac4 In6'
_space_group_name_H-M_alt 'P 1'
_space_group_IT_number 1
_space_group_name_Hall 'P 1'
_cell_length_a 10.8579
_cell_length_b 10.8579
_cell_length_c 7.9843
_cell_angle_alpha 90.00
_cell_angle_beta 90.00
_cell_angle_gamma 154.25
loop_
_atom_site_label
_atom_site_type_symbol
_atom_site_fract_x
_atom_site_fract_y
_atom_site_fract_z
Li1 Li 0.1893 0.8107 0.5631
Li2 Li 0.1893 0.8107 0.9369
Li3 Li 0.8107 0.1893 0.0631
Li4 Li 0.8107 0.1893 0.4369
Ac1 Ac 0.3405 0.6595 0.7500
Ac2 Ac 0.4456 0.5544 0.2500
Ac3 Ac 0.5544 0.4456 0.7500
Ac4 Ac 0.6595 0.3405 0.2500
In1 In 0.0631 0.9369 0.0668
In2 In 0.0631 0.9369 0.4332
In3 In 0.2779 0.7221 0.2500
In4 In 0.7221 0.2779 0.7500
In5 In 0.9369 0.0631 0.5668
In6 In 0.9369 0.0631 0.9332
# Size of the total moment, μB per formula unit: 0.0
# Symmetry: Cmcm
# Theoretical density, g cm⁻³: 6.60

---

Which one sits at the top of the stability order? 2 does.

---

1:
# Li2AcIn3, relaxed, DFT PBE
data_Li2AcIn3
_chemical_formula_sum 'Li4 Ac2 In6'
_space_group_name_H-M_alt 'P 1'
_space_group_IT_number 1
_space_group_name_Hall 'P 1'
_cell_length_a 4.7405
_cell_length_b 4.7405
_cell_length_c 15.5558
_cell_angle_alpha 90.00
_cell_angle_beta 90.00
_cell_angle_gamma 120.00
loop_
_atom_site_label
_atom_site_type_symbol
_atom_site_fract_x
_atom_site_fract_y
_atom_site_fract_z
Li1 Li 0.3333 0.6667 0.0746
Li2 Li 0.3333 0.6667 0.4254
Li3 Li 0.6667 0.3333 0.5746
Li4 Li 0.6667 0.3333 0.9254
Ac1 Ac 0.0000 0.0000 0.2500
Ac2 Ac 0.0000 0.0000 0.7500
In1 In 0.0000 0.0000 0.0000
In2 In 0.0000 0.0000 0.5000
In3 In 0.3333 0.6667 0.6146
In4 In 0.3333 0.6667 0.8854
In5 In 0.6667 0.3333 0.1146
In6 In 0.6667 0.3333 0.3854
# Size of the total moment, μB per formula unit: 0.0
# Symmetry: P6_3/mmc
# Theoretical density, g cm⁻³: 6.42

---

2:
# Li2AcIn3, relaxed, DFT PBE
data_Li2AcIn3
_chemical_formula_sum 'Li4 Ac2 In6'
_space_group_name_H-M_alt 'P 1'
_space_group_IT_number 1
_space_group_name_Hall 'P 1'
_cell_length_a 7.4347
_cell_length_b 7.4347
_cell_length_c 5.5147
_cell_angle_alpha 90.00
_cell_angle_beta 90.00
_cell_angle_gamma 77.77
loop_
_atom_site_label
_atom_site_type_symbol
_atom_site_fract_x
_atom_site_fract_y
_atom_site_fract_z
Li1 Li 0.2112 0.2112 0.0000
Li2 Li 0.2112 0.2112 0.5000
Li3 Li 0.7888 0.7888 0.0000
Li4 Li 0.7888 0.7888 0.5000
Ac1 Ac 0.3264 0.6736 0.7500
Ac2 Ac 0.6736 0.3264 0.2500
In1 In 0.0666 0.9334 0.2500
In2 In 0.0938 0.5310 0.2500
In3 In 0.4690 0.9062 0.2500
In4 In 0.5310 0.0938 0.7500
In5 In 0.9062 0.4690 0.7500
In6 In 0.9334 0.0666 0.7500
# Size of the total moment, μB per formula unit: 0.0
# Symmetry: Cmcm
# Theoretical density, g cm⁻³: 6.53

---

Which one sits at the top of the stability order? 2 does.

---

1:
# LiAcInSn, relaxed, DFT PBE
data_LiAcInSn
_chemical_formula_sum 'Li1 Ac1 In1 Sn1'
_space_group_name_H-M_alt 'P 1'
_space_group_IT_number 1
_space_group_name_Hall 'P 1'
_cell_length_a 5.4812
_cell_length_b 5.4812
_cell_length_c 5.4812
_cell_angle_alpha 60.00
_cell_angle_beta 60.00
_cell_angle_gamma 60.00
loop_
_atom_site_label
_atom_site_type_symbol
_atom_site_fract_x
_atom_site_fract_y
_atom_site_fract_z
Li1 Li 0.0000 0.0000 0.0000
Ac1 Ac 0.5000 0.5000 0.5000
In1 In 0.2500 0.2500 0.2500
Sn1 Sn 0.7500 0.7500 0.7500
# Size of the total moment, μB per formula unit: 0.0
# Symmetry: F-43m
# Theoretical density, g cm⁻³: 6.67

---

2:
# LiAcInSn, relaxed, DFT PBE
data_LiAcInSn
_chemical_formula_sum 'Li1 Ac1 In1 Sn1'
_space_group_name_H-M_alt 'P 1'
_space_group_IT_number 1
_space_group_name_Hall 'P 1'
_cell_length_a 6.5237
_cell_length_b 6.5237
_cell_length_c 6.5237
_cell_angle_alpha 42.13
_cell_angle_beta 42.13
_cell_angle_gamma 42.13
loop_
_atom_site_label
_atom_site_type_symbol
_atom_site_fract_x
_atom_site_fract_y
_atom_site_fract_z
Li1 Li 0.0000 0.0000 0.0000
Ac1 Ac 0.4941 0.4941 0.4941
In1 In 0.2813 0.2813 0.2813
Sn1 Sn 0.7066 0.7066 0.7066
# Size of the total moment, μB per formula unit: 0.0
# Symmetry: R3m
# Theoretical density, g cm⁻³: 6.87

---

Which one sits at the top of the stability order? 2 does.

---

1:
# LiAcTlIn, relaxed, DFT PBE
data_LiAcTlIn
_chemical_formula_sum 'Li1 Ac1 Tl1 In1'
_space_group_name_H-M_alt 'P 1'
_space_group_IT_number 1
_space_group_name_Hall 'P 1'
_cell_length_a 5.5003
_cell_length_b 5.5003
_cell_length_c 5.5003
_cell_angle_alpha 60.00
_cell_angle_beta 60.00
_cell_angle_gamma 60.00
loop_
_atom_site_label
_atom_site_type_symbol
_atom_site_fract_x
_atom_site_fract_y
_atom_site_fract_z
Li1 Li 0.0000 0.0000 0.0000
Ac1 Ac 0.5000 0.5000 0.5000
Tl1 Tl 0.7500 0.7500 0.7500
In1 In 0.2500 0.2500 0.2500
# Size of the total moment, μB per formula unit: 0.0
# Symmetry: F-43m
# Theoretical density, g cm⁻³: 7.81

---

2:
# LiAcTlIn, relaxed, DFT PBE
data_LiAcTlIn
_chemical_formula_sum 'Li1 Ac1 Tl1 In1'
_space_group_name_H-M_alt 'P 1'
_space_group_IT_number 1
_space_group_name_Hall 'P 1'
_cell_length_a 4.8121
_cell_length_b 4.8121
_cell_length_c 6.3668
_cell_angle_alpha 112.29
_cell_angle_beta 112.29
_cell_angle_gamma 60.00
loop_
_atom_site_label
_atom_site_type_symbol
_atom_site_fract_x
_atom_site_fract_y
_atom_site_fract_z
Li1 Li 0.0000 0.0000 0.0000
Ac1 Ac 0.7998 0.7998 0.4000
Tl1 Tl 0.5818 0.5818 0.7465
In1 In 0.3298 0.3298 0.9889
# Size of the total moment, μB per formula unit: 0.0
# Symmetry: Cm
# Theoretical density, g cm⁻³: 8.00

---

Which one sits at the top of the stability order? 1 does.

---

1:
# LiAcZnIn, relaxed, DFT PBE
data_LiAcZnIn
_chemical_formula_sum 'Li1 Ac1 Zn1 In1'
_space_group_name_H-M_alt 'P 1'
_space_group_IT_number 1
_space_group_name_Hall 'P 1'
_cell_length_a 5.1599
_cell_length_b 5.1599
_cell_length_c 5.1599
_cell_angle_alpha 60.00
_cell_angle_beta 60.00
_cell_angle_gamma 60.00
loop_
_atom_site_label
_atom_site_type_symbol
_atom_site_fract_x
_atom_site_fract_y
_atom_site_fract_z
Li1 Li 0.0000 0.0000 0.0000
Ac1 Ac 0.2500 0.2500 0.2500
Zn1 Zn 0.5000 0.5000 0.5000
In1 In 0.7500 0.7500 0.7500
# Size of the total moment, μB per formula unit: 0.0
# Symmetry: F-43m
# Theoretical density, g cm⁻³: 7.08

---

2:
# LiAcZnIn, relaxed, DFT PBE
data_LiAcZnIn
_chemical_formula_sum 'Li1 Ac1 Zn1 In1'
_space_group_name_H-M_alt 'P 1'
_space_group_IT_number 1
_space_group_name_Hall 'P 1'
_cell_length_a 5.9333
_cell_length_b 5.9333
_cell_length_c 5.9333
_cell_angle_alpha 46.64
_cell_angle_beta 46.64
_cell_angle_gamma 46.64
loop_
_atom_site_label
_atom_site_type_symbol
_atom_site_fract_x
_atom_site_fract_y
_atom_site_fract_z
Li1 Li 0.0000 0.0000 0.0000
Ac1 Ac 0.7960 0.7960 0.7960
Zn1 Zn 0.5841 0.5841 0.5841
In1 In 0.2941 0.2941 0.2941
# Size of the total moment, μB per formula unit: 0.0
# Symmetry: R3m
# Theoretical density, g cm⁻³: 6.82

---

Which one sits at the top of the stability order? 2 does.

---

1:
# AcLu2In, relaxed, DFT PBE
data_AcLu2In
_chemical_formula_sum 'Ac1 Lu2 In1'
_space_group_name_H-M_alt 'P 1'
_space_group_IT_number 1
_space_group_name_Hall 'P 1'
_cell_length_a 3.6641
_cell_length_b 3.6641
_cell_length_c 9.2376
_cell_angle_alpha 90.00
_cell_angle_beta 90.00
_cell_angle_gamma 90.00
loop_
_atom_site_label
_atom_site_type_symbol
_atom_site_fract_x
_atom_site_fract_y
_atom_site_fract_z
Ac1 Ac 0.0000 0.0000 0.0000
Lu1 Lu 0.5000 0.5000 0.2900
Lu2 Lu 0.5000 0.5000 0.7100
In1 In 0.0000 0.0000 0.5000
# Size of the total moment, μB per formula unit: 0.0
# Symmetry: P4/mmm
# Theoretical density, g cm⁻³: 9.26

---

2:
# AcLu2In, relaxed, DFT PBE
data_AcLu2In
_chemical_formula_sum 'Ac1 Lu2 In1'
_space_group_name_H-M_alt 'P 1'
_space_group_IT_number 1
_space_group_name_Hall 'P 1'
_cell_length_a 5.5520
_cell_length_b 5.5520
_cell_length_c 5.5520
_cell_angle_alpha 60.00
_cell_angle_beta 60.00
_cell_angle_gamma 60.00
loop_
_atom_site_label
_atom_site_type_symbol
_atom_site_fract_x
_atom_site_fract_y
_atom_site_fract_z
Ac1 Ac 0.0000 0.0000 0.0000
Lu1 Lu 0.2500 0.2500 0.2500
Lu2 Lu 0.7500 0.7500 0.7500
In1 In 0.5000 0.5000 0.5000
# Size of the total moment, μB per formula unit: 1.5
# Symmetry: Fm-3m
# Theoretical density, g cm⁻³: 9.49

---

3:
# AcLu2In, relaxed, DFT PBE
data_AcLu2In
_chemical_formula_sum 'Ac1 Lu2 In1'
_space_group_name_H-M_alt 'P 1'
_space_group_IT_number 1
_space_group_name_Hall 'P 1'
_cell_length_a 4.9905
_cell_length_b 4.9905
_cell_length_c 4.9762
_cell_angle_alpha 90.00
_cell_angle_beta 90.00
_cell_angle_gamma 90.00
loop_
_atom_site_label
_atom_site_type_symbol
_atom_site_fract_x
_atom_site_fract_y
_atom_site_fract_z
Ac1 Ac 0.0000 0.0000 0.0000
Lu1 Lu 0.0000 0.5000 0.5000
Lu2 Lu 0.5000 0.0000 0.5000
In1 In 0.5000 0.5000 0.0000
# Size of the total moment, μB per formula unit: 0.2
# Symmetry: P4/mmm
# Theoretical density, g cm⁻³: 9.27

---

Which one sits at the top of the stability order? 1 does.

---

1:
# Ac3Mg3In2, relaxed, DFT PBE
data_Ac3Mg3In2
_chemical_formula_sum 'Ac6 Mg6 In4'
_space_group_name_H-M_alt 'P 1'
_space_group_IT_number 1
_space_group_name_Hall 'P 1'
_cell_length_a 6.5445
_cell_length_b 6.5445
_cell_length_c 16.8553
_cell_angle_alpha 90.00
_cell_angle_beta 90.00
_cell_angle_gamma 134.06
loop_
_atom_site_label
_atom_site_type_symbol
_atom_site_fract_x
_atom_site_fract_y
_atom_site_fract_z
Ac1 Ac 0.0930 0.9070 0.6092
Ac2 Ac 0.0930 0.9070 0.8908
Ac3 Ac 0.3768 0.6232 0.7500
Ac4 Ac 0.6232 0.3768 0.2500
Ac5 Ac 0.9070 0.0930 0.1092
Ac6 Ac 0.9070 0.0930 0.3908
Mg1 Mg 0.3309 0.6691 0.2500
Mg2 Mg 0.3779 0.6221 0.5333
Mg3 Mg 0.3779 0.6221 0.9667
Mg4 Mg 0.6221 0.3779 0.0333
Mg5 Mg 0.6221 0.3779 0.4667
Mg6 Mg 0.6691 0.3309 0.7500
In1 In 0.2002 0.7998 0.1030
In2 In 0.2002 0.7998 0.3970
In3 In 0.7998 0.2002 0.6030
In4 In 0.7998 0.2002 0.8970
# Size of the total moment, μB per formula unit: 0.0
# Symmetry: Cmcm
# Theoretical density, g cm⁻³: 6.30

---

2:
# Ac3Mg3In2, relaxed, DFT PBE
data_Ac3Mg3In2
_chemical_formula_sum 'Ac12 Mg12 In8'
_space_group_name_H-M_alt 'P 1'
_space_group_IT_number 1
_space_group_name_Hall 'P 1'
_cell_length_a 9.2941
_cell_length_b 17.1213
_cell_length_c 6.5624
_cell_angle_alpha 90.00
_cell_angle_beta 90.00
_cell_angle_gamma 90.00
loop_
_atom_site_label
_atom_site_type_symbol
_atom_site_fract_x
_atom_site_fract_y
_atom_site_fract_z
Ac1 Ac 0.0418 0.1110 0.1171
Ac2 Ac 0.0418 0.3890 0.1171
Ac3 Ac 0.1805 0.2500 0.6206
Ac4 Ac 0.3195 0.7500 0.1206
Ac5 Ac 0.4582 0.6110 0.6171
Ac6 Ac 0.4582 0.8890 0.6171
Ac7 Ac 0.5419 0.1110 0.3829
Ac8 Ac 0.5419 0.3890 0.3829
Ac9 Ac 0.6805 0.2500 0.8794
Ac10 Ac 0.8195 0.7500 0.3794
Ac11 Ac 0.9582 0.6110 0.8829
Ac12 Ac 0.9582 0.8890 0.8829
Mg1 Mg 0.1727 0.7500 0.6188
Mg2 Mg 0.1823 0.0344 0.6053
Mg3 Mg 0.1823 0.4656 0.6053
Mg4 Mg 0.3177 0.5344 0.1053
Mg5 Mg 0.3177 0.9656 0.1053
Mg6 Mg 0.3273 0.2500 0.1188
Mg7 Mg 0.6727 0.7500 0.8812
Mg8 Mg 0.6823 0.0344 0.8947
Mg9 Mg 0.6823 0.4656 0.8947
Mg10 Mg 0.8177 0.5344 0.3947
Mg11 Mg 0.8177 0.9656 0.3947
Mg12 Mg 0.8273 0.2500 0.3812
In1 In 0.1051 0.6078 0.3729
In2 In 0.1051 0.8922 0.3729
In3 In 0.3949 0.1078 0.8729
In4 In 0.3949 0.3922 0.8729
In5 In 0.6051 0.6078 0.1271
In6 In 0.6051 0.8922 0.1271
In7 In 0.8949 0.1078 0.6271
In8 In 0.8949 0.3922 0.6271
# Size of the total moment, μB per formula unit: 0.0
# Symmetry: Pnma
# Theoretical density, g cm⁻³: 6.26

---

Which one sits at the top of the stability order? 1 does.